This record from the Alexandria database describes a geometry-optimized AlTl2Au6 structure. The functional is PBE-GGA.

abc: 9.687 6.191 6.604
angles: 90.00 106.64 90.00
Space group C2/m (No. 12)
One atom of each set of equivalent atoms:
Al1 0.000 0.000 0.000 [2 per cell]
Tl1 0.154 0.500 0.842 [4 per cell]
Au1 0.121 0.261 0.317 [8 per cell]
Au2 0.132 0.000 0.706 [4 per cell]

---

This record from the Alexandria database describes a geometry-optimized Al2TlAu structure. The functional is PBE-GGA.

abc: 3.017 5.571 10.091
angles: 90.00 90.00 90.00
Space group Immm (No. 71)
One atom of each set of equivalent atoms:
Al1 0.000 0.000 0.222 [4 per cell]
Tl1 0.000 0.500 0.000 [2 per cell]
Au1 0.000 0.500 0.500 [2 per cell]

Results
Polymorph energy (0 for the lowest one) = 138.8 meV per atom

---

This record from the Alexandria database describes a geometry-optimized Al2TlAu structure. The functional is PBE-GGA.

abc: 8.879 3.386 5.890
angles: 90.00 104.98 90.00
Space group Cm (No. 8)
One atom of each set of equivalent atoms:
Al1 0.000 0.000 0.000 [2 per cell]
Al2 0.247 0.500 0.236 [2 per cell]
Tl1 0.232 0.000 0.712 [2 per cell]
Au1 0.477 0.000 0.354 [2 per cell]

Results
Polymorph energy (0 for the lowest one) = 76.6 meV per atom

---

This record from the Alexandria database describes a geometry-optimized Al2TlAu structure. The functional is PBE-GGA.

abc: 3.379 4.524 5.480
angles: 90.00 90.00 90.00
Space group Pmmm (No. 47)
One atom of each set of equivalent atoms:
Al1 0.000 0.000 0.000 [1 per cell]
Al2 0.500 0.000 0.500 [1 per cell]
Tl1 0.000 0.500 0.500 [1 per cell]
Au1 0.500 0.500 0.000 [1 per cell]

Results
Polymorph energy (0 for the lowest one) = 221.4 meV per atom

---

This record from the Alexandria database describes a geometry-optimized AlTlAu2 structure. The functional is PBE-GGA.

abc: 6.777 3.936 7.100
angles: 90.00 109.10 90.00
Space group C2/m (No. 12)
One atom of each set of equivalent atoms:
Al1 0.000 0.000 0.000 [2 per cell]
Tl1 0.000 0.500 0.500 [2 per cell]
Au1 0.233 0.500 0.194 [4 per cell]

Results
Polymorph energy (0 for the lowest one) = 13.0 meV per atom

---

This record from the Alexandria database describes a geometry-optimized Al2TlAu structure. The functional is PBE-GGA.

abc: 3.187 3.187 8.183
angles: 90.00 90.00 90.00
Space group P4/mmm (No. 123)
One atom of each set of equivalent atoms:
Al1 0.000 0.000 0.199 [2 per cell]
Tl1 0.500 0.500 0.500 [1 per cell]
Au1 0.500 0.500 0.000 [1 per cell]

Results
Polymorph energy (0 for the lowest one) = 57.7 meV per atom

---

This record from the Alexandria database describes a geometry-optimized AlTlAu2 structure. The functional is PBE-GGA.

abc: 3.132 3.201 8.240
angles: 90.00 96.70 90.00
Space group P2/m (No. 10)
One atom of each set of equivalent atoms:
Al1 0.000 0.000 0.000 [1 per cell]
Tl1 0.000 0.000 0.500 [1 per cell]
Au1 0.446 0.500 0.812 [2 per cell]

Results
Polymorph energy (0 for the lowest one) = 0.0 meV per atom

---

This record from the Alexandria database describes a geometry-optimized Al2TlAu structure. The functional is PBE-GGA.

abc: 8.233 3.496 6.201
angles: 90.00 104.66 90.00
Space group C2/m (No. 12)
One atom of each set of equivalent atoms:
Al1 0.236 0.000 0.179 [4 per cell]
Tl1 0.000 0.000 0.500 [2 per cell]
Au1 0.000 0.500 0.000 [2 per cell]

Results
Polymorph energy (0 for the lowest one) = 0.0 meV per atom

---

no.,DOS(E_F) (states/eV/f.u.),volume (Å³/f.u.),VASP energy (eV/atom)
1,3.08,189.74,-3.193
2,1.42,84.80,-3.196
3,1.46,85.51,-3.259
4,0.57,83.77,-3.114
5,1.21,89.49,-3.318
6,1.83,83.13,-3.278
7,1.16,82.05,-3.331
8,1.67,86.34,-3.335